4
Lattice="9.517 0.024 0.014 9.027 3.012 0.014 9.027 1.478 2.625" Properties=species:S:1:pos:R:3 comment="Cd2PtAu | Alexandria via LeMat-Bulk | GGA-PBE | optimized geometry" spacegroup=R-3m delta_e_f_ev_per_atom=-0.150 energy_ry_per_atom=-0.21588 pbc="T T T"
Cd 27.498 4.503 2.646
Cd 13.859 2.270 1.334
Au 20.679 3.386 1.990
Pt 6.893 1.129 0.663